[1]
This record from the Alexandria database describes an optimized crystal structure of SrPrHo2. The functional is PBE.

Cell: 12.381 12.381 12.381 Å, 17.20 17.20 17.20°
Fractional positions:
Sr: 0.000 0.000 0.000
Pr: 0.834 0.834 0.834
Ho: 0.245 0.245 0.245
Ho: 0.422 0.422 0.422

Results
formation enthalpy at 0 K	126	meV/atom
SG	R3m

[2]
This record from the Alexandria database describes an optimized crystal structure of SrPrHo. The functional is PBE.

Cell: 3.776 3.776 9.391 Å, 90.00 90.00 120.00°
Fractional positions:
Sr: 0.000 0.000 0.000
Pr: 0.667 0.333 0.361
Ho: 0.333 0.667 0.655

Results
formation enthalpy at 0 K	127	meV/atom
SG	P3m1

[3]
This record from the Alexandria database describes an optimized crystal structure of SrPrHo2. The functional is PBE.

Cell: 13.021 13.021 13.021 Å, 16.07 16.07 16.07°
Fractional positions:
Sr: 0.000 0.000 0.000
Pr: 0.500 0.500 0.500
Ho: 0.092 0.092 0.092
Ho: 0.908 0.908 0.908

Results
formation enthalpy at 0 K	231	meV/atom
SG	R-3m

[4]
This record from the Alexandria database describes an optimized crystal structure of Sr3PrHo3Te8. The functional is PBE.

Cell: 9.169 9.169 9.169 Å, 58.10 58.10 58.10°
Fractional positions:
Sr: 0.000 0.500 0.500
Sr: 0.500 0.000 0.500
Sr: 0.500 0.500 0.000
Pr: 0.500 0.500 0.500
Ho: 0.000 0.000 0.500
Ho: 0.000 0.500 0.000
Ho: 0.500 0.000 0.000
Te: 0.230 0.753 0.753
Te: 0.243 0.243 0.243
Te: 0.247 0.247 0.770
Te: 0.247 0.770 0.247
Te: 0.753 0.230 0.753
Te: 0.753 0.753 0.230
Te: 0.757 0.757 0.757
Te: 0.770 0.247 0.247

Results
SG	R-3m
formation energy (no corrections)	-1.509	eV per atom